# 1
First-principles (PBEsol) data for Y2ScW after structural relaxation, as listed in Alexandria.

The structure belongs to space group I-4m2 (No. 119); the cell edges are 4.5860, 4.5860 and 8.6138 Å and the angles 90.00°, 90.00° and 90.00°. Symmetry generates all atoms from Y at (0.0000, 0.0000, 0.0000), Y at (0.0000, 0.5000, 0.2500), Sc at (0.0000, 0.0000, 0.5000) and W at (0.0000, 0.5000, 0.7500).

For the formation enthalpy at 0 K, the calculation gives 0.440 eV per atom. The density comes out at 7454 kg/m³. The calculation puts the density of states at the Fermi level at 1.221 states/eV/atom.



# 2
First-principles (PBEsol) data for Be2NiHg after structural relaxation, as listed in Alexandria.

The structure belongs to space group C2/m (No. 12); the cell edges are 7.7294, 2.8536 and 4.4882 Å and the angles 90.00°, 103.69° and 90.00°. Symmetry generates all atoms from Be at (0.2293, 0.0000, 0.1691), Ni at (0.0000, 0.5000, 0.0000) and Hg at (0.0000, 0.0000, 0.5000).

For the formation enthalpy at 0 K, the calculation gives 0.125 eV per atom. The density comes out at 9575 kg/m³. The calculation puts the density of states at the Fermi level at 0.354 states/eV/atom.



# 3
First-principles (PBEsol) data for CoRe2Tc after structural relaxation, as listed in Alexandria.

The structure belongs to space group R3m (No. 160, hexagonal axes); the cell edges are 2.6916, 2.6916 and 25.8786 Å and the angles 90.00°, 90.00° and 120.00°. Symmetry generates all atoms from Co at (0.0000, 0.0000, 0.0000), Re at (0.0000, 0.0000, 0.5011), Re at (0.0000, 0.0000, 0.7458) and Tc at (0.0000, 0.0000, 0.2526).

For the formation enthalpy at 0 K, the calculation gives 0.142 eV per atom. The density comes out at 16241 kg/m³. The calculation puts the density of states at the Fermi level at 1.180 states/eV/atom.



# 4
First-principles (PBEsol) data for KInOs2 after structural relaxation, as listed in Alexandria.

The structure belongs to space group P4mm (No. 99); the cell edges are 2.8963, 2.8963 and 9.5009 Å and the angles 90.00°, 90.00° and 90.00°. Symmetry generates all atoms from K at (0.0000, 0.0000, 0.0000), In at (0.5000, 0.5000, 0.6798), Os at (0.0000, 0.0000, 0.4535) and Os at (0.5000, 0.5000, 0.2931).

For the formation enthalpy at 0 K, the calculation gives 0.541 eV per atom. The density comes out at 11134 kg/m³. The calculation puts the density of states at the Fermi level at 0.997 states/eV/atom.



# 5
First-principles (PBEsol) data for YZr2Ni after structural relaxation, as listed in Alexandria.

The structure belongs to space group P4/mmm (No. 123); the cell edges are 4.1520, 4.1520 and 4.7075 Å and the angles 90.00°, 90.00° and 90.00°. Symmetry generates all atoms from Y at (0.0000, 0.0000, 0.0000), Zr at (0.0000, 0.5000, 0.5000) and Ni at (0.5000, 0.5000, 0.0000).

For the formation enthalpy at 0 K, the calculation gives 0.127 eV per atom. The density comes out at 6753 kg/m³. The calculation puts the density of states at the Fermi level at 1.540 states/eV/atom.



# 6
First-principles (PBEsol) data for BaLiAl2 after structural relaxation, as listed in Alexandria.

The structure belongs to space group P4/mmm (No. 123); the cell edges are 4.4117, 4.4117 and 5.1868 Å and the angles 90.00°, 90.00° and 90.00°. Symmetry generates all atoms from Ba at (0.0000, 0.0000, 0.0000), Li at (0.5000, 0.5000, 0.0000) and Al at (0.0000, 0.5000, 0.5000).

For the formation enthalpy at 0 K, the calculation gives 0.169 eV per atom. The density comes out at 3261 kg/m³. The calculation puts the density of states at the Fermi level at 0.914 states/eV/atom.



# 7
First-principles (PBEsol) data for BePOs after structural relaxation, as listed in Alexandria.

The structure belongs to space group F-43m (No. 216); the cell edges are 5.4273, 5.4273 and 5.4273 Å and the angles 90.00°, 90.00° and 90.00°. Symmetry generates all atoms from Be at (0.0000, 0.0000, 0.0000), P at (0.0000, 0.0000, 0.5000) and Os at (0.2500, 0.2500, 0.2500).

For the formation enthalpy at 0 K, the calculation gives 0.062 eV per atom. The density comes out at 9565 kg/m³. The calculation puts the density of states at the Fermi level at 0.538 states/eV/atom.



# 8
First-principles (PBEsol) data for Re2NiBr after structural relaxation, as listed in Alexandria.

The structure belongs to space group Pmmm (No. 47); the cell edges are 2.8144, 4.5307 and 4.6286 Å and the angles 90.00°, 90.00° and 90.00°. Symmetry generates all atoms from Re at (0.0000, 0.0000, 0.0000), Re at (0.5000, 0.5000, 0.0000), Ni at (0.0000, 0.5000, 0.5000) and Br at (0.5000, 0.0000, 0.5000).

The calculation puts the total energy at -7.61 eV/atom. The density comes out at 14377 kg/m³. The calculation puts the density of states at the Fermi level at 1.136 states/eV/atom.



# 9
First-principles (PBEsol) data for Ca2TlH2 after structural relaxation, as listed in Alexandria.

The structure belongs to space group P4/mbm (No. 127); the cell edges are 7.5498, 7.5498 and 3.1541 Å and the angles 90.00°, 90.00° and 90.00°. Symmetry generates all atoms from Ca at (0.1506, 0.3494, 0.0000), Tl at (0.0000, 0.0000, 0.5000) and H at (0.0976, 0.5976, 0.5000).

The calculation puts the total energy at -2.86 eV/atom. The density comes out at 5293 kg/m³. The calculation puts the density of states at the Fermi level at 0.487 states/eV/atom.



# 10
First-principles (PBEsol) data for ScSnSb2 after structural relaxation, as listed in Alexandria.

The structure belongs to space group I-42d (No. 122); the cell edges are 6.5591, 6.5591 and 13.3308 Å and the angles 90.00°, 90.00° and 90.00°. Symmetry generates all atoms from Sc at (0.0000, 0.0000, 0.0000), Sn at (0.0000, 0.0000, 0.5000) and Sb at (0.2410, 0.2500, 0.1250).

The calculation puts the total energy at -5.08 eV/atom. The density comes out at 4716 kg/m³. The calculation puts the density of states at the Fermi level at 0.964 states/eV/atom.



# 11
First-principles (PBEsol) data for Tc2Pb2Se after structural relaxation, as listed in Alexandria.

The structure belongs to space group I4/mmm (No. 139); the cell edges are 3.5343, 3.5343 and 17.1306 Å and the angles 90.00°, 90.00° and 90.00°. Symmetry generates all atoms from Tc at (0.0000, 0.5000, 0.2500), Pb at (0.0000, 0.0000, 0.1070) and Se at (0.0000, 0.0000, 0.5000).

The calculation puts the total energy at -6.40 eV/atom. The density comes out at 10699 kg/m³. The calculation puts the density of states at the Fermi level at 0.876 states/eV/atom.



# 12
First-principles (PBEsol) data for YB3I after structural relaxation, as listed in Alexandria.

The structure belongs to space group Pm-3m (No. 221); the cell edges are 4.3860, 4.3860 and 4.3860 Å and the angles 90.00°, 90.00° and 90.00°. Symmetry generates all atoms from Y at (0.0000, 0.0000, 0.0000), B at (0.0000, 0.5000, 0.5000) and I at (0.5000, 0.5000, 0.5000).

The calculation puts the total energy at -4.07 eV/atom. The density comes out at 4886 kg/m³. The calculation puts the density of states at the Fermi level at 0.663 states/eV/atom.



# 13
First-principles (PBEsol) data for Li5Mn2CoO8 after structural relaxation, as listed in Alexandria.

The structure belongs to space group C2 (No. 5); the cell edges are 9.9451, 5.6168 and 4.8525 Å and the angles 90.00°, 109.28° and 90.00°. Symmetry generates all atoms from Li at (0.0000, 0.0000, 0.0000), Li at (0.2462, 0.0013, 0.4922), Li at (0.2475, 0.7543, 0.9927), Mn at (0.0000, 0.2391, 0.5000), Mn at (0.0000, 0.5081, 0.0000), Co at (0.0000, 0.7514, 0.5000), O at (0.1113, 0.5000, 0.7456), O at (0.1120, 0.2658, 0.2514), O at (0.1131, 0.0014, 0.7215) and O at (0.1133, 0.7386, 0.2488).

The calculation puts the total energy at -6.80 eV/atom. The density comes out at 4303 kg/m³.



# 14
First-principles (PBEsol) data for HfPS2Br after structural relaxation, as listed in Alexandria.

The structure belongs to space group P4/mmm (No. 123); the cell edges are 4.7670, 4.7670 and 5.2645 Å and the angles 90.00°, 90.00° and 90.00°. Symmetry generates all atoms from Hf at (0.0000, 0.0000, 0.0000), P at (0.0000, 0.0000, 0.5000), S at (0.0000, 0.5000, 0.0000) and Br at (0.5000, 0.5000, 0.5000).

The calculation puts the total energy at -5.49 eV/atom. The density comes out at 4907 kg/m³. The calculation puts the density of states at the Fermi level at 0.837 states/eV/atom.



# 15
First-principles (PBEsol) data for K2LiPrBr6 after structural relaxation, as listed in Alexandria.

The structure belongs to space group Fm-3m (No. 225); the cell edges are 10.9955, 10.9955 and 10.9955 Å and the angles 90.00°, 90.00° and 90.00°. Symmetry generates all atoms from K at (0.2500, 0.2500, 0.2500), Li at (0.0000, 0.0000, 0.0000), Pr at (0.0000, 0.0000, 0.5000) and Br at (0.0000, 0.0000, 0.2408).

The calculation puts the total energy at -3.77 eV/atom. The density comes out at 3525 kg/m³. The calculation puts the density of states at the Fermi level at 0.000 states/eV/atom.



# 16
First-principles (PBEsol) data for BaZr2Al after structural relaxation, as listed in Alexandria.

The structure belongs to space group P4mm (No. 99); the cell edges are 3.6287, 3.6287 and 8.1785 Å and the angles 90.00°, 90.00° and 90.00°. Symmetry generates all atoms from Ba at (0.0000, 0.0000, 0.0000), Zr at (0.0000, 0.0000, 0.5492), Zr at (0.5000, 0.5000, 0.3496) and Al at (0.5000, 0.5000, 0.7054).

For the formation enthalpy at 0 K, the calculation gives 0.098 eV per atom. The density comes out at 5347 kg/m³. The calculation puts the density of states at the Fermi level at 1.099 states/eV/atom.



# 17
First-principles (PBEsol) data for NiOsRh after structural relaxation, as listed in Alexandria.

The structure belongs to space group Imm2 (No. 44); the cell edges are 2.6546, 3.6764 and 7.7728 Å and the angles 90.00°, 90.00° and 90.00°. Symmetry generates all atoms from Ni at (0.0000, 0.0000, 0.0000), Os at (0.0000, 0.0000, 0.6603) and Rh at (0.0000, 0.0000, 0.3297).

For the formation enthalpy at 0 K, the calculation gives 0.041 eV per atom. The density comes out at 15403 kg/m³. The calculation puts the density of states at the Fermi level at 0.877 states/eV/atom.



# 18
First-principles (PBEsol) data for LiFeCu2Ir after structural relaxation, as listed in Alexandria.

The structure belongs to space group P4/mmm (No. 123); the cell edges are 4.6818, 4.6818 and 4.5187 Å and the angles 90.00°, 90.00° and 90.00°. Symmetry generates all atoms from Li at (0.0000, 0.0000, 0.0000), Fe at (0.5000, 0.5000, 0.0000), Cu at (0.0000, 0.5000, 0.5000) and Ir at (0.5000, 0.5000, 0.5000).

For the formation enthalpy at 0 K, the calculation gives 0.993 eV per atom. The density comes out at 6406 kg/m³. The calculation puts the density of states at the Fermi level at 1.078 states/eV/atom.



# 19
First-principles (PBEsol) data for ZrAlNi6 after structural relaxation, as listed in Alexandria.

The structure belongs to space group Cmmm (No. 65); the cell edges are 7.1783, 10.2264 and 10.2262 Å and the angles 90.00°, 90.00° and 90.00°. Symmetry generates all atoms from Zr at (0.0000, 0.0000, 0.2450), Zr at (0.0000, 0.2452, 0.5000), Al at (0.0000, 0.2414, 0.0000), Al at (0.0000, 0.5000, 0.2461), Ni at (0.0000, 0.0000, 0.0000), Ni at (0.0000, 0.0000, 0.5000), Ni at (0.0000, 0.2527, 0.2429), Ni at (0.0000, 0.5000, 0.0000), Ni at (0.0000, 0.5000, 0.5000), Ni at (0.2413, 0.3731, 0.1206) and Ni at (0.2426, 0.3770, 0.3703).

For the formation enthalpy at 0 K, the calculation gives -0.452 eV per atom. The density comes out at 8324 kg/m³. The calculation puts the density of states at the Fermi level at 1.066 states/eV/atom.



# 20
First-principles (PBEsol) data for CaRe2Pb after structural relaxation, as listed in Alexandria.

The structure belongs to space group Pm (No. 6); the cell edges are 3.1127, 3.1126 and 8.3828 Å and the angles 90.00°, 90.07° and 90.00°. Symmetry generates all atoms from Ca at (0.0000, 0.0000, 0.0000), Re at (0.4988, 0.5000, 0.7398), Re at (0.9980, 0.0000, 0.5815) and Pb at (0.4982, 0.5000, 0.3272).

For the formation enthalpy at 0 K, the calculation gives 0.239 eV per atom. The density comes out at 12670 kg/m³. The calculation puts the density of states at the Fermi level at 0.474 states/eV/atom.